Record 1
# La2TlFeSi

A geometry-optimized La2TlFeSi structure (PBE-GGA, Alexandria via LeMat-Bulk).

Cell lengths 5.3255, 5.3255, 4.4898 Å; angles 90.00, 90.00, 90.00 degrees
Closest atoms and distances in Å follow each position.
Element x y z (fractional)
La1 0.0000 0.5000 0.0000  2 Fe 2.66
La2 0.5000 0.0000 0.0000  2 Fe 2.66
Tl1 0.0000 0.0000 0.5000  8 La 3.48, 4 Si 3.77
Fe1 0.5000 0.5000 0.0000  2 Si 2.24
Si1 0.5000 0.5000 0.5000  2 Fe 2.24

Calculated values
The density of states at the Fermi level comes out at 6.12 states/eV/cell. As for the space group: P4/mmm (123). The density comes out at 7.38 g/cm³. The calculation puts the total energy at -27.57 eV per cell. The calculated volume comes out at 25.47 Å³/atom.

---

Record 2
# LaZn2FeSi

A geometry-optimized LaZn2FeSi structure (PBE-GGA, Alexandria via LeMat-Bulk).

Cell lengths 4.6483, 4.6483, 4.3702 Å; angles 90.00, 90.00, 90.00 degrees
Closest atoms and distances in Å follow each position.
Element x y z (fractional)
La1 0.0000 0.0000 0.0000  8 Zn 3.19, 4 Si 3.29
Zn1 0.0000 0.5000 0.5000  2 Fe 2.32
Zn2 0.5000 0.0000 0.5000  2 Fe 2.32
Fe1 0.5000 0.5000 0.5000  2 Si 2.19, 4 Zn 2.32
Si1 0.5000 0.5000 0.0000  2 Fe 2.19

Calculated values
The density of states at the Fermi level comes out at 2.72 states/eV/cell. As for the space group: P4/mmm (123). The density comes out at 6.22 g/cm³. The calculation puts the total energy at -22.84 eV per cell. The calculated volume comes out at 18.89 Å³/atom.